The following is a DFT calculation (PBE) of a relaxed LaTlTe2 crystal.

## Properties
- Formation energy (no corrections): -3.6 eV/f.u.
- Space-group type: No. 122

abc: 7.6011 7.6011 7.6011
angles: 111.43 111.43 105.62
With the nearest neighbours (Å) after each atom.
Fractional positions:
La 0.0000 0.0000 0.0000  4 Te 3.11
La 0.7500 0.2500 0.5000  4 Te 3.11
Tl 0.2500 0.7500 0.5000  4 Te 3.38
Tl 0.5000 0.5000 0.0000  4 Te 3.38
Te 0.1008 0.6250 0.9758  2 La 3.11, 2 Tl 3.38
Te 0.3750 0.3508 0.4758  2 La 3.11, 2 Tl 3.38
Te 0.6492 0.1250 0.0242  2 La 3.11, 2 Tl 3.38
Te 0.8750 0.8992 0.5242  2 La 3.11, 2 Tl 3.38